{
  "formula": "BaSr3H",
  "functional": "PBE-GGA",
  "state": "relaxed",
  "final_energy_ry_per_atom": -0.15759,
  "vol_a3_per_cell": 211,
  "m_tot_mub_per_cell": 0.0,
  "cell": [[5.955, 0.000, 0.000], [0.000, 5.955, 0.000], [0.000, 0.000, 5.955]],
  "species": ["Sr", "Sr", "Sr", "H", "Ba"],
  "fractional_positions": [[0.000, 0.500, 0.000], [0.500, 0.000, 0.000], [0.000, 0.000, 0.500], [0.000, 0.000, 0.000], [0.500, 0.500, 0.500]]
}